This record from the Alexandria database describes an optimized crystal structure of Cs2MnTl. The functional is PBE.

```
data_Cs2MnTl
_space_group_name_H-M_alt 'F m -3 m'
_space_group_IT_number 225
_space_group_name_Hall '-F 4 2 3'
_cell_length_a 8.5830
_cell_length_b 8.5830
_cell_length_c 8.5830
_cell_angle_alpha 90.00
_cell_angle_beta 90.00
_cell_angle_gamma 90.00
loop_
_atom_site_label
_atom_site_type_symbol
_atom_site_fract_x
_atom_site_fract_y
_atom_site_fract_z
Cs1 Cs 0.2500 0.2500 0.2500
Mn1 Mn 0.0000 0.0000 0.0000
Tl1 Tl 0.0000 0.0000 0.5000
```

The calculation puts the total energy at -2.567 eV per atom. The value obtained for the formation enthalpy at 0 K is 72 kJ per mole of atoms.

---

This record from the Alexandria database describes an optimized crystal structure of DyAlSiO5. The functional is PBE.

```
data_DyAlSiO5
_space_group_name_H-M_alt 'C 1 2/c 1'
_space_group_IT_number 15
_cell_length_a 6.4930
_cell_length_b 8.6264
_cell_length_c 6.7497
_cell_angle_alpha 90.00
_cell_angle_beta 112.22
_cell_angle_gamma 90.00
loop_
_space_group_symop_operation_xyz
'x,y,z'
'-x,-y,-z'
'-x,y,-z+1/2'
'x,-y,z+1/2'
'x+1/2,y+1/2,z'
'-x+1/2,-y+1/2,-z'
'-x+1/2,y+1/2,-z+1/2'
'x+1/2,-y+1/2,z+1/2'
loop_
_atom_site_label
_atom_site_type_symbol
_atom_site_fract_x
_atom_site_fract_y
_atom_site_fract_z
Dy1 Dy 0.0000 0.1759 0.2500
Al1 Al 0.0000 0.5000 0.0000
Si1 Si 0.0000 0.1762 0.7500
O1 O 0.0000 0.4274 0.2500
O2 O 0.1059 0.2866 0.6122
O3 O 0.1816 0.0595 0.9201
```

The calculation puts the total energy at -7.958 eV per atom. The formation energy (no corrections) is -3138 meV/atom.

---

This record from the Alexandria database describes an optimized crystal structure of InAg2Pd. The functional is PBE.

```
data_InAg2Pd
_space_group_name_H-M_alt 'R -3 m'
_space_group_IT_number 166
_space_group_name_Hall '-R 3 2"'
_cell_length_a 2.9378
_cell_length_b 2.9378
_cell_length_c 31.5918
_cell_angle_alpha 90.00
_cell_angle_beta 90.00
_cell_angle_gamma 120.00
loop_
_atom_site_label
_atom_site_type_symbol
_atom_site_fract_x
_atom_site_fract_y
_atom_site_fract_z
In1 In 0.0000 0.0000 0.0000
Ag1 Ag 0.0000 0.0000 0.4151
Pd1 Pd 0.0000 0.0000 0.5000
```

The calculation puts the total energy at -3.167 eV per atom. The value obtained for the formation enthalpy at 0 K is 23 kJ per mole of atoms.

---

This record from the Alexandria database describes an optimized crystal structure of ScTlGaCu2. The functional is PBE.

```
data_ScTlGaCu2
_space_group_name_H-M_alt 'P 4/m m m'
_space_group_IT_number 123
_space_group_name_Hall '-P 4 2'
_cell_length_a 4.8544
_cell_length_b 4.8544
_cell_length_c 5.4570
_cell_angle_alpha 90.00
_cell_angle_beta 90.00
_cell_angle_gamma 90.00
loop_
_atom_site_label
_atom_site_type_symbol
_atom_site_fract_x
_atom_site_fract_y
_atom_site_fract_z
Sc1 Sc 0.0000 0.0000 0.0000
Tl1 Tl 0.0000 0.0000 0.5000
Ga1 Ga 0.5000 0.5000 0.0000
Cu1 Cu 0.0000 0.5000 0.5000
```

The calculation puts the total energy at -3.240 eV per atom. The value obtained for the formation enthalpy at 0 K is 72 kJ per mole of atoms.

---

This record from the Alexandria database describes an optimized crystal structure of IrRu4Au. The functional is PBE.

```
data_IrRu4Au
_space_group_name_H-M_alt 'F -4 3 m'
_space_group_IT_number 216
_space_group_name_Hall 'F -4 2 3'
_cell_length_a 7.1946
_cell_length_b 7.1946
_cell_length_c 7.1946
_cell_angle_alpha 90.00
_cell_angle_beta 90.00
_cell_angle_gamma 90.00
loop_
_atom_site_label
_atom_site_type_symbol
_atom_site_fract_x
_atom_site_fract_y
_atom_site_fract_z
Ir1 Ir 0.0000 0.0000 0.0000
Ru1 Ru 0.1252 0.1252 0.6252
Au1 Au 0.2500 0.2500 0.2500
```

The calculation puts the total energy at -7.516 eV per atom. The value obtained for the formation enthalpy at 0 K is 67 kJ per mole of atoms.

---

This record from the Alexandria database describes an optimized crystal structure of ErSi4Ni12. The functional is PBE.

```
data_ErSi4Ni12
_space_group_name_H-M_alt 'I m -3'
_space_group_IT_number 204
_space_group_name_Hall '-I 2 2 3'
_cell_length_a 7.7455
_cell_length_b 7.7455
_cell_length_c 7.7455
_cell_angle_alpha 90.00
_cell_angle_beta 90.00
_cell_angle_gamma 90.00
loop_
_atom_site_label
_atom_site_type_symbol
_atom_site_fract_x
_atom_site_fract_y
_atom_site_fract_z
Er1 Er 0.0000 0.0000 0.0000
Si1 Si 0.2500 0.2500 0.2500
Ni1 Ni 0.0000 0.3498 0.1585
```

The calculation puts the total energy at -5.672 eV per atom. The formation energy (no corrections) is -46 meV/atom.

---

This record from the Alexandria database describes an optimized crystal structure of NaSNCl2. The functional is PBE.

```
data_NaSNCl2
_space_group_name_H-M_alt 'P 4/m m m'
_space_group_IT_number 123
_space_group_name_Hall '-P 4 2'
_cell_length_a 5.5942
_cell_length_b 5.5942
_cell_length_c 3.4118
_cell_angle_alpha 90.00
_cell_angle_beta 90.00
_cell_angle_gamma 90.00
loop_
_atom_site_label
_atom_site_type_symbol
_atom_site_fract_x
_atom_site_fract_y
_atom_site_fract_z
Na1 Na 0.0000 0.0000 0.0000
S1 S 0.5000 0.5000 0.0000
N1 N 0.5000 0.5000 0.5000
Cl1 Cl 0.0000 0.5000 0.5000
```

The calculation puts the total energy at -3.301 eV per atom. The formation energy (no corrections) is 192 meV/atom.

---

This record from the Alexandria database describes an optimized crystal structure of CaCeAs. The functional is PBE.

```
data_CaCeAs
_space_group_name_H-M_alt 'P 3 m 1'
_space_group_IT_number 156
_cell_length_a 4.1299
_cell_length_b 4.1299
_cell_length_c 6.8939
_cell_angle_alpha 90.00
_cell_angle_beta 90.00
_cell_angle_gamma 120.00
loop_
_space_group_symop_operation_xyz
'x,y,z'
'-y,x-y,z'
'-x+y,-x,z'
'-y,-x,z'
'-x+y,y,z'
'x,x-y,z'
loop_
_atom_site_label
_atom_site_type_symbol
_atom_site_fract_x
_atom_site_fract_y
_atom_site_fract_z
Ca1 Ca 0.0000 0.0000 0.0000
Ce1 Ce 0.3333 0.6667 0.4933
As1 As 0.6667 0.3333 0.2555
```

The calculation puts the total energy at -4.903 eV per atom. The value obtained for the formation enthalpy at 0 K is -68 kJ per mole of atoms.

---

Which formula does entry 7 have? NaSNCl2

---

Which formula does entry 2 have? DyAlSiO5

---

What did the fourth record say?
This record from the Alexandria database describes an optimized crystal structure of ScTlGaCu2. The functional is PBE.

```
data_ScTlGaCu2
_space_group_name_H-M_alt 'P 4/m m m'
_space_group_IT_number 123
_space_group_name_Hall '-P 4 2'
_cell_length_a 4.8544
_cell_length_b 4.8544
_cell_length_c 5.4570
_cell_angle_alpha 90.00
_cell_angle_beta 90.00
_cell_angle_gamma 90.00
loop_
_atom_site_label
_atom_site_type_symbol
_atom_site_fract_x
_atom_site_fract_y
_atom_site_fract_z
Sc1 Sc 0.0000 0.0000 0.0000
Tl1 Tl 0.0000 0.0000 0.5000
Ga1 Ga 0.5000 0.5000 0.0000
Cu1 Cu 0.0000 0.5000 0.5000
```

The calculation puts the total energy at -3.240 eV per atom. The value obtained for the formation enthalpy at 0 K is 72 kJ per mole of atoms.